one:
# Ti2NbTl2, relaxed, DFT GGA-PBE
# calculated density	9832	kg/m3
# crystal system	tetragonal
# space-group type	P4/mbm, No. 127
# Fermi-level density of states	15.6	states/eV/cell
data_Ti2NbTl2
_cell_length_a 7.610
_cell_length_b 7.610
_cell_length_c 3.484
_cell_angle_alpha 90.00
_cell_angle_beta 90.00
_cell_angle_gamma 90.00
_symmetry_space_group_name_H-M 'P 1'
_symmetry_Int_Tables_number 1
loop_
_symmetry_equiv_pos_as_xyz
'x,y,z'
loop_
_atom_site_label
_atom_site_fract_x
_atom_site_fract_y
_atom_site_fract_z
Ti1 0.170 0.330 0.000
Ti2 0.330 0.830 0.000
Ti3 0.670 0.170 0.000
Ti4 0.830 0.670 0.000
Nb1 0.000 0.000 0.500
Nb2 0.500 0.500 0.500
Tl1 0.135 0.635 0.500
Tl2 0.365 0.135 0.500
Tl3 0.635 0.865 0.500
Tl4 0.865 0.365 0.500


two:
# Ti2NbTl2, relaxed, DFT GGA-PBE
# calculated density	9635	kg/m3
# crystal system	tetragonal
# space-group type	I4/mmm, No. 139
# Fermi-level density of states	7.3	states/eV/cell
data_Ti2NbTl2
_cell_length_a 7.524
_cell_length_b 7.524
_cell_length_c 7.524
_cell_angle_alpha 150.51
_cell_angle_beta 150.51
_cell_angle_gamma 42.19
_symmetry_space_group_name_H-M 'P 1'
_symmetry_Int_Tables_number 1
loop_
_symmetry_equiv_pos_as_xyz
'x,y,z'
loop_
_atom_site_label
_atom_site_fract_x
_atom_site_fract_y
_atom_site_fract_z
Ti1 0.250 0.750 0.500
Ti2 0.750 0.250 0.500
Nb1 0.000 0.000 0.000
Tl1 0.400 0.400 0.000
Tl2 0.600 0.600 0.000


Least stable of them? two.